Entry 1:
A geometry-optimized PmHfAs2 structure, computed with GGA-PBE.

Geometry as extended XYZ:
```
8
Lattice="-1.193 1.147 3.599 -2.596 -0.166 -2.988 -2.820 -12.859 3.164" Properties=species:S:1:pos:R:3 pbc="T T T"
Hf -1.410 -6.430 1.582
Hf 0.000 0.000 0.000
As -4.168 -10.724 4.216
As -2.441 -1.154 -0.442
As -3.226 -4.732 0.439
As -3.384 -7.146 3.336
Pm -2.366 -2.505 2.194
Pm -4.244 -9.373 1.580
```

## Properties
As for the density of states at the Fermi level: 4.5 states/eV per cell. The value obtained for the formation energy is -1.21 eV/atom. As for the crystal system: hexagonal. The value obtained for the calculated total energy is -28.83 eV/f.u. The value obtained for the magnetization is 0.0 μB/f.u. The calculation puts the energy above the most stable polymorph in this dataset at 46 meV/atom.

---

Entry 2:
A geometry-optimized PmHfAs2 structure, computed with GGA-PBE.

Geometry as extended XYZ:
```
4
Lattice="3.247 0.000 0.000 0.000 5.123 0.000 0.000 0.000 5.123" Properties=species:S:1:pos:R:3 pbc="T T T"
As 0.000 0.000 2.561
As 0.000 2.561 0.000
Pm 1.623 2.561 2.561
Hf 1.623 0.000 0.000
```

## Properties
As for the density of states at the Fermi level: 3.1 states/eV per cell. The value obtained for the formation energy is -0.73 eV/atom. As for the crystal system: tetragonal. The value obtained for the calculated total energy is -26.93 eV/f.u. The value obtained for the magnetization is 0.0 μB/f.u. The calculation puts the energy above the most stable polymorph in this dataset at 520 meV/atom.

---

Entry 3:
A geometry-optimized PmHfAs2 structure, computed with GGA-PBE.

Geometry as extended XYZ:
```
4
Lattice="-2.769 -1.128 -2.658 0.718 -3.078 -2.453 -3.274 -5.566 2.763" Properties=species:S:1:pos:R:3 pbc="T T T"
As -1.265 -2.337 -0.700
Pm -2.662 -4.886 -1.173
As -4.059 -7.435 -1.647
Hf 0.000 0.000 0.000
```

## Properties
As for the density of states at the Fermi level: 1.7 states/eV per cell. The value obtained for the formation energy is -1.25 eV/atom. As for the crystal system: trigonal. The value obtained for the calculated total energy is -29.01 eV/f.u. The value obtained for the magnetization is 0.0 μB/f.u. The calculation puts the energy above the most stable polymorph in this dataset at 0 meV/atom.

---

Entry 4:
A geometry-optimized PmHfAs structure, computed with GGA-PBE.

Geometry as extended XYZ:
```
3
Lattice="3.990 0.000 0.000 0.000 4.639 0.000 0.000 -2.319 4.017" Properties=species:S:1:pos:R:3 pbc="T T T"
As 0.659 0.000 0.000
Hf 0.668 0.000 2.678
Pm 2.663 2.319 1.339
```

## Properties
As for the density of states at the Fermi level: 4.3 states/eV per cell. The value obtained for the formation energy is -0.35 eV/atom. As for the crystal system: trigonal. The value obtained for the calculated total energy is -20.42 eV/f.u. The value obtained for the magnetization is 0.9 μB/f.u.

---

Entry 5:
A geometry-optimized PmHfAs2 structure, computed with GGA-PBE.

Geometry as extended XYZ:
```
4
Lattice="3.940 0.000 0.000 1.970 3.412 0.000 1.970 1.137 6.933" Properties=species:S:1:pos:R:3 pbc="T T T"
As 1.970 1.137 5.399
As 1.970 1.137 1.533
Pm 3.940 2.275 3.537
Hf 5.910 3.412 6.863
```

## Properties
As for the density of states at the Fermi level: 2.8 states/eV per cell. The value obtained for the formation energy is -1.18 eV/atom. As for the crystal system: trigonal. The value obtained for the calculated total energy is -28.70 eV/f.u. The value obtained for the magnetization is 0.0 μB/f.u. The calculation puts the energy above the most stable polymorph in this dataset at 77 meV/atom.

---

Entry 6:
A geometry-optimized PmPr2HfAs4 structure, computed with GGA-PBE.

Geometry as extended XYZ:
```
8
Lattice="-3.970 1.158 0.380 -1.132 -5.400 4.627 2.061 5.864 3.656" Properties=species:S:1:pos:R:3 pbc="T T T"
As -0.374 -2.717 4.373
As -1.264 0.953 6.581
Pr 0.464 0.232 4.142
Pr -0.955 3.511 2.018
As -1.777 0.670 2.083
Pm -2.551 -2.121 2.504
Hf 0.000 0.000 0.000
As 1.303 3.182 3.911
```

## Properties
As for the density of states at the Fermi level: 1.5 states/eV per cell. The value obtained for the formation energy is -1.36 eV/atom. As for the crystal system: monoclinic. The value obtained for the calculated total energy is -53.74 eV/f.u. The value obtained for the magnetization is 0.0 μB/f.u.